## Ag2Hg (PBE)

Data for a relaxed Ag2Hg crystal.

Calculated values
energy above the most stable polymorph in this dataset = 46.1 meV/atom
total energy = -11.29 eV per cell
ΔH_f (0 K) = 0.1001 eV/atom

Cell: 5.548 5.548 5.548 Å, 60.00 60.00 60.00°
Element x y z (fractional)
Ag 0.000 0.000 0.000
Ag 0.000 0.000 0.500
Ag 0.000 0.500 0.000
Ag 0.500 0.000 0.000
Hg 0.375 0.375 0.375
Hg 0.625 0.625 0.625

***

## DyEr2Tm4Fe2Te2 (PBE)

Data for a relaxed DyEr2Tm4Fe2Te2 crystal.

Calculated values
total energy = -59.96 eV per cell

Cell: 9.268 9.268 9.268 Å, 156.12 65.48 120.04°
Element x y z (fractional)
Dy 0.000 0.000 0.000
Er 0.061 0.374 0.687
Er 0.687 0.374 0.313
Tm 0.083 0.733 0.350
Tm 0.384 0.733 0.650
Tm 0.445 0.582 0.864
Tm 0.718 0.582 0.136
Fe 0.307 0.069 0.237
Fe 0.832 0.069 0.763
Te 0.337 0.337 0.000
Te 0.732 0.232 0.500

***

## RbCu4AsS4 (PBE)

Data for a relaxed RbCu4AsS4 crystal.

Calculated values
total energy = -81.51 eV per cell

Cell: 6.684 6.380 9.701 Å, 90.00 103.96 90.00°
Element x y z (fractional)
Rb 0.177 0.000 0.138
Rb 0.823 0.500 0.862
Cu 0.142 0.476 0.395
Cu 0.208 0.120 0.558
Cu 0.426 0.105 0.875
Cu 0.481 0.829 0.514
Cu 0.519 0.329 0.486
Cu 0.574 0.605 0.125
Cu 0.792 0.620 0.442
Cu 0.858 0.976 0.605
As 0.300 0.626 0.743
As 0.700 0.126 0.257
S 0.038 0.425 0.601
S 0.120 0.903 0.799
S 0.343 0.428 0.948
S 0.436 0.598 0.340
S 0.564 0.098 0.660
S 0.657 0.928 0.052
S 0.880 0.403 0.201
S 0.962 0.925 0.399

***

## LaSnAuS3 (PBE)

Data for a relaxed LaSnAuS3 crystal.

Calculated values
total energy = -60.55 eV per cell

Cell: 6.855 6.855 10.837 Å, 90.00 90.00 145.50°
Element x y z (fractional)
La 0.000 0.000 0.000
La 0.000 0.000 0.500
Sn 0.240 0.760 0.750
Sn 0.760 0.240 0.250
Au 0.469 0.531 0.250
Au 0.531 0.469 0.750
S 0.094 0.906 0.250
S 0.352 0.648 0.068
S 0.352 0.648 0.432
S 0.648 0.352 0.568
S 0.648 0.352 0.932
S 0.906 0.094 0.750

***

## Tl2ReAgF6 (PBE)

Data for a relaxed Tl2ReAgF6 crystal.

Calculated values
total energy = -45.93 eV per cell

Cell: 6.018 6.018 6.018 Å, 58.89 58.89 58.89°
Element x y z (fractional)
Tl 0.229 0.229 0.229
Tl 0.771 0.771 0.771
Re 0.000 0.000 0.000
Ag 0.500 0.500 0.500
F 0.163 0.711 0.300
F 0.289 0.700 0.837
F 0.300 0.163 0.711
F 0.700 0.837 0.289
F 0.711 0.300 0.163
F 0.837 0.289 0.700

***

## SrSmY (PBE)

Data for a relaxed SrSmY crystal.

Calculated values
energy above the most stable polymorph in this dataset = 0.0 meV/atom
total energy = -41.77 eV per cell

Cell: 8.204 8.204 8.204 Å, 90.00 90.00 90.00°
Element x y z (fractional)
Sr 0.000 0.000 0.000
Sr 0.000 0.500 0.500
Sr 0.500 0.000 0.500
Sr 0.500 0.500 0.000
Sm 0.000 0.000 0.500
Sm 0.000 0.500 0.000
Sm 0.500 0.000 0.000
Sm 0.500 0.500 0.500
Y 0.250 0.250 0.750
Y 0.250 0.750 0.250
Y 0.750 0.250 0.250
Y 0.750 0.750 0.750